This record from Alexandria describes a geometry-optimized Sb2AsOs structure. The functional is PBE.

```
data_Sb2AsOs
_chemical_formula_sum 'Sb2 As1 Os1'
_space_group_name_H-M_alt 'P 1'
_space_group_IT_number 1
_cell_length_a 3.420
_cell_length_b 5.163
_cell_length_c 4.628
_cell_angle_alpha 90.00
_cell_angle_beta 90.00
_cell_angle_gamma 90.00
loop_
_space_group_symop_operation_xyz
'x,y,z'
loop_
_atom_site_label
_atom_site_fract_x
_atom_site_fract_y
_atom_site_fract_z
As1 0.500 0.000 0.500
Sb1 0.000 0.000 0.000
Os1 0.000 0.500 0.500
Sb2 0.500 0.500 0.000
```

- ΔE_f (raw): 817 meV per atom
- N(E_F): 3.5 states/eV/f.u.
- Energy: -5.214 eV per atom
- Space group: Pmmm, No. 47

---

This record from Alexandria describes a geometry-optimized SbAsOs structure. The functional is PBE.

```
data_SbAsOs
_chemical_formula_sum 'Sb2 As2 Os2'
_space_group_name_H-M_alt 'P 1'
_space_group_IT_number 1
_cell_length_a 4.110
_cell_length_b 4.982
_cell_length_c 6.386
_cell_angle_alpha 78.88
_cell_angle_beta 75.07
_cell_angle_gamma 89.47
loop_
_space_group_symop_operation_xyz
'x,y,z'
loop_
_atom_site_label
_atom_site_fract_x
_atom_site_fract_y
_atom_site_fract_z
Sb1 0.225 0.430 0.668
As1 0.491 0.085 0.953
Sb2 0.806 0.947 0.443
Os1 0.666 0.636 0.856
Os2 0.378 0.280 0.280
As2 0.916 0.564 0.183
```

- ΔE_f (raw): 120 meV per atom
- N(E_F): 1.6 states/eV/f.u.
- Energy: -6.547 eV per atom
- Energy above the lowest structure with this stoichiometry: 222 meV per atom
- Space group: P1, No. 1